[1]
Density functional theory data (PBE) for an optimized crystal structure of NiHN2.

Output
As for the space-group type: R-3m (166). As for the electronic total energy: -23.366 eV/f.u.

Unit cell a=4.653 b=4.653 c=4.653 alpha=36.48 beta=36.48 gamma=36.48
Element x y z (fractional)
Ni 0.500 0.500 0.500
H 0.000 0.000 0.000
N 0.904 0.904 0.904
N 0.096 0.096 0.096

[2]
Density functional theory data (PBE) for an optimized crystal structure of ScSe2O.

Output
As for the space-group type: R-3m (166). As for the raw formation energy: 0.3425 eV per atom.

Unit cell a=8.513 b=8.513 c=8.513 alpha=21.96 beta=21.96 gamma=21.96
Element x y z (fractional)
Sc 0.000 0.000 0.000
O 0.500 0.500 0.500
Se 0.896 0.896 0.896
Se 0.104 0.104 0.104

[3]
Density functional theory data (PBE) for an optimized crystal structure of Pt2PbCl.

Output
As for the space-group type: Fm-3m (225). As for the raw formation energy: 0.2971 eV per atom.

Unit cell a=4.771 b=4.771 c=4.771 alpha=60.00 beta=60.00 gamma=60.00
Element x y z (fractional)
Pb 0.500 0.500 0.500
Pt 0.250 0.250 0.250
Pt 0.750 0.750 0.750
Cl 0.000 0.000 0.000

[4]
Density functional theory data (PBE) for an optimized crystal structure of TaCoNi2.

Output
As for the space-group type: Fm-3m (225). The calculation puts the formation energy from the elements at -0.061 eV/atom.

Unit cell a=4.146 b=4.146 c=4.146 alpha=60.00 beta=60.00 gamma=60.00
Element x y z (fractional)
Ni 0.250 0.250 0.250
Ni 0.750 0.750 0.750
Co 0.000 0.000 0.000
Ta 0.500 0.500 0.500

[5]
Density functional theory data (PBE) for an optimized crystal structure of BaSrAsH2.

Output
As for the space-group type: Cmcm (63). As for the electronic total energy: -17.924 eV/f.u.

Unit cell a=4.681 b=7.085 c=7.681 alpha=90.00 beta=90.00 gamma=109.29
Element x y z (fractional)
Ba 0.729 0.457 0.750
Ba 0.271 0.543 0.250
Sr 0.000 0.000 0.000
Sr 0.000 0.000 0.500
As 0.451 0.902 0.750
As 0.549 0.098 0.250
H 0.179 0.359 0.937
H 0.821 0.641 0.063
H 0.179 0.359 0.563
H 0.821 0.641 0.437

[6]
Density functional theory data (PBE) for an optimized crystal structure of DyGa3PdPt.

Output
As for the space-group type: Cmcm (63). The calculation puts the formation energy from the elements at -0.575 eV/atom.

Unit cell a=5.760 b=5.892 c=7.216 alpha=114.10 beta=90.00 gamma=90.00
Element x y z (fractional)
Dy 0.750 0.297 0.595
Dy 0.250 0.703 0.405
Ga 0.250 0.144 0.289
Ga 0.000 0.287 0.000
Ga 0.500 0.713 0.000
Ga 0.500 0.287 0.000
Ga 0.000 0.713 0.000
Ga 0.750 0.856 0.711
Pd 0.250 0.343 0.686
Pd 0.750 0.657 0.314
Pt 0.250 0.907 0.815
Pt 0.750 0.093 0.185

[7]
Density functional theory data (PBE) for an optimized crystal structure of FeOsN2.

Output
As for the space-group type: R-3m (166). As for the raw formation energy: 0.3810 eV per atom.

Unit cell a=6.444 b=6.444 c=6.444 alpha=24.14 beta=24.14 gamma=24.14
Element x y z (fractional)
Os 0.000 0.000 0.000
Fe 0.500 0.500 0.500
N 0.896 0.896 0.896
N 0.104 0.104 0.104

[8]
Density functional theory data (PBE) for an optimized crystal structure of ThCrN3.

Output
As for the space-group type: Pna2_1 (33). As for the raw formation energy: -0.9498 eV per atom.

Unit cell a=5.428 b=5.572 c=7.684 alpha=90.00 beta=90.00 gamma=90.00
Element x y z (fractional)
Th 0.002 0.048 0.729
Th 0.498 0.548 0.729
Th 0.502 0.452 0.229
Th 0.998 0.952 0.229
Cr 0.503 0.969 0.995
Cr 0.497 0.031 0.495
Cr 0.997 0.469 0.995
Cr 0.003 0.531 0.495
N 0.787 0.185 0.447
N 0.790 0.213 0.012
N 0.213 0.815 0.947
N 0.210 0.787 0.512
N 0.290 0.287 0.512
N 0.560 0.992 0.728
N 0.710 0.713 0.012
N 0.940 0.492 0.728
N 0.713 0.685 0.447
N 0.287 0.315 0.947
N 0.060 0.508 0.228
N 0.440 0.008 0.228

[9]
Density functional theory data (PBE) for an optimized crystal structure of Hg3Ir.

Output
As for the space-group type: Pm-3m (221). The calculation puts the formation energy from the elements at 0.329 eV/atom.

Unit cell a=5.295 b=5.295 c=5.295 alpha=90.00 beta=90.00 gamma=90.00
Element x y z (fractional)
Hg 0.000 0.000 0.500
Hg 0.000 0.500 0.000
Hg 0.500 0.000 0.000
Ir 0.000 0.000 0.000

[10]
Density functional theory data (PBE) for an optimized crystal structure of CrCoSi2.

Output
As for the space-group type: P2_1 (4). As for the raw formation energy: -0.4179 eV per atom.

Unit cell a=4.449 b=4.565 c=4.562 alpha=89.77 beta=90.00 gamma=90.00
Element x y z (fractional)
Cr 0.638 0.876 0.100
Cr 0.138 0.124 0.900
Co 0.362 0.638 0.609
Co 0.862 0.362 0.391
Si 0.657 0.360 0.908
Si 0.157 0.640 0.092
Si 0.343 0.160 0.416
Si 0.843 0.840 0.584

[11]
Density functional theory data (PBE) for an optimized crystal structure of CsTl8Sn4.

Output
As for the space-group type: I4/mmm (139). The calculation puts the formation energy from the elements at -0.011 eV/atom.

Unit cell a=6.519 b=8.674 c=8.674 alpha=81.88 beta=67.93 gamma=67.93
Element x y z (fractional)
Cs 0.000 0.000 0.000
Tl 0.000 0.354 0.646
Tl 0.000 0.646 0.354
Tl 0.354 0.646 0.646
Tl 0.646 0.354 0.354
Tl 0.500 0.785 0.215
Tl 0.500 0.215 0.785
Tl 0.285 0.215 0.215
Tl 0.715 0.785 0.785
Sn 0.000 0.000 0.500
Sn 0.500 0.000 0.500
Sn 0.000 0.500 0.000
Sn 0.500 0.500 0.000

[12]
Density functional theory data (PBE) for an optimized crystal structure of KTiCd2I.

Output
As for the space-group type: P4/mmm (123). As for the raw formation energy: 0.9356 eV per atom.

Unit cell a=6.577 b=6.222 c=6.577 alpha=90.00 beta=90.00 gamma=90.00
Element x y z (fractional)
I 0.000 0.000 0.000
K 0.000 0.500 0.000
Ti 0.500 0.500 0.500
Cd 0.000 0.000 0.500
Cd 0.500 0.000 0.000

| no. | density of states at the Fermi level (states/eV per atom) |
| --- | --- |
| 1 | 0.57 |
| 2 | 0.64 |
| 3 | 0.37 |
| 4 | 1.08 |
| 5 | 0.58 |
| 6 | 0.44 |
| 7 | 0.47 |
| 8 | 0.48 |
| 9 | 0.15 |
| 10 | 0.78 |
| 11 | 0.60 |
| 12 | 1.55 |